Here is a relaxed TbPr2ErP4 crystal from the Alexandria database. Energies are from PBE-GGA.

The structure belongs to space group P2/m (No. 10); the cell edges are 7.101, 4.105 and 7.106 Å and the angles 90.00°, 109.47° and 90.00°. Symmetry generates all atoms from Tb at (0.000, 0.000, 0.000), Pr at (0.500, 0.000, 0.500), Pr at (0.500, 0.500, 0.000), Er at (0.000, 0.500, 0.500), P at (0.237, 0.000, 0.744) and P at (0.238, 0.500, 0.248).

The calculation puts the total energy at -6.6011 eV/atom. The calculation puts the total moment at 0.00 μB/f.u. Its volume is 195 Å³ per cell. The density of states at the Fermi level is 0.7 states/eV per cell.

Here is a relaxed TbPrEr2P4 crystal from the Alexandria database. Energies are from PBE-GGA.

The structure belongs to space group P2/m (No. 10); the cell edges are 7.001, 4.046 and 7.004 Å and the angles 90.00°, 109.47° and 90.00°. Symmetry generates all atoms from Tb at (0.000, 0.000, 0.000), Pr at (0.000, 0.500, 0.500), Er at (0.500, 0.000, 0.500), Er at (0.500, 0.500, 0.000), P at (0.257, 0.500, 0.248) and P at (0.261, 0.000, 0.758).

The calculation puts the total energy at -6.5963 eV/atom. The calculation puts the total moment at 0.00 μB/f.u. Its volume is 187 Å³ per cell. The density of states at the Fermi level is 0.8 states/eV per cell.

Here is a relaxed Pr2ErThP4 crystal from the Alexandria database. Energies are from PBE-GGA.

The structure belongs to space group P2/m (No. 10); the cell edges are 7.135, 4.136 and 7.175 Å and the angles 90.00°, 109.42° and 90.00°. Symmetry generates all atoms from Pr at (0.000, 0.000, 0.000), Pr at (0.500, 0.500, 0.000), Er at (0.000, 0.500, 0.500), Th at (0.500, 0.000, 0.500), P at (0.243, 0.000, 0.738) and P at (0.249, 0.500, 0.259).

The calculation puts the total energy at -6.9628 eV/atom. The calculation puts the total moment at 0.00 μB/f.u. Its volume is 200 Å³ per cell. The density of states at the Fermi level is 1.5 states/eV per cell.

Here is a relaxed PrErTh2P4 crystal from the Alexandria database. Energies are from PBE-GGA.

The structure belongs to space group P2/m (No. 10); the cell edges are 7.105, 4.126 and 7.149 Å and the angles 90.00°, 109.64° and 90.00°. Symmetry generates all atoms from Pr at (0.000, 0.000, 0.000), Er at (0.000, 0.500, 0.500), Th at (0.500, 0.000, 0.500), Th at (0.500, 0.500, 0.000), P at (0.246, 0.000, 0.743) and P at (0.251, 0.500, 0.256).

The calculation puts the total energy at -7.2822 eV/atom. The calculation puts the total moment at 0.00 μB/f.u. Its volume is 197 Å³ per cell. The density of states at the Fermi level is 4.0 states/eV per cell.

Here is a relaxed PrEr2ThP4 crystal from the Alexandria database. Energies are from PBE-GGA.

The structure belongs to space group P2/m (No. 10); the cell edges are 7.026, 4.079 and 7.063 Å and the angles 90.00°, 109.50° and 90.00°. Symmetry generates all atoms from Pr at (0.000, 0.000, 0.000), Er at (0.500, 0.000, 0.500), Er at (0.500, 0.500, 0.000), Th at (0.000, 0.500, 0.500), P at (0.261, 0.000, 0.751) and P at (0.262, 0.500, 0.257).

The calculation puts the total energy at -6.9537 eV/atom. The calculation puts the total moment at 0.00 μB/f.u. Its volume is 191 Å³ per cell. The density of states at the Fermi level is 1.5 states/eV per cell.

Here is a relaxed PrEr2TmP4 crystal from the Alexandria database. Energies are from PBE-GGA.

The structure belongs to space group P2/m (No. 10); the cell edges are 6.969, 4.027 and 6.971 Å and the angles 90.00°, 109.47° and 90.00°. Symmetry generates all atoms from Pr at (0.000, 0.000, 0.000), Er at (0.000, 0.500, 0.500), Er at (0.500, 0.000, 0.500), Tm at (0.500, 0.500, 0.000), P at (0.256, 0.000, 0.746) and P at (0.260, 0.500, 0.259).

The calculation puts the total energy at -6.5681 eV/atom. The calculation puts the total moment at 0.00 μB/f.u. Its volume is 184 Å³ per cell. The density of states at the Fermi level is 0.8 states/eV per cell.

Look up the volume of the third one. 200 Å³ per cell